A relaxed structure of Zr2Pd4Au. Source: Alexandria via LeMat-Bulk, functional PBE.

Computed properties:
- excess energy over the best structure of this formula in the dataset (meV/atom) = 40
- energy relative to the elements (eV/f.u.) = -3.27

a b c (Å): 5.3955 8.9141 10.5964
angles (deg): 90.00 90.00 90.00
Space group Cmce (No. 64)
Symmetry-distinct sites (fractional):
Zr  0.0000  0.1803  0.0909 x8
Pd  0.0000  0.2476  0.3479 x8
Pd  0.2500  0.0118  0.7500 x8
Au  0.0000  0.0000  0.5000 x4



A relaxed structure of ZrPd3Au3. Source: Alexandria via LeMat-Bulk, functional PBE.

Computed properties:
- energy relative to the elements (eV/f.u.) = -2.76

a b c (Å): 7.6296 7.6296 4.7914
angles (deg): 90.00 90.00 120.00
Space group P6_3/m (No. 176)
Symmetry-distinct sites (fractional):
Zr  0.3333  0.6667  0.2500 x2
Pd  0.0513  0.8083  0.2500 x6
Au  0.0951  0.6286  0.7500 x6



A relaxed structure of ZrPdAu. Source: Alexandria via LeMat-Bulk, functional PBE.

Computed properties:
- excess energy over the best structure of this formula in the dataset (meV/atom) = 0
- energy relative to the elements (eV/f.u.) = -2.20

a b c (Å): 3.5439 3.5439 8.7576
angles (deg): 90.00 90.00 90.00
Space group I4mm (No. 107)
Symmetry-distinct sites (fractional):
Zr  0.0000  0.0000  0.0000 x2
Pd  0.0000  0.0000  0.6596 x2
Au  0.0000  0.0000  0.3317 x2



A relaxed structure of Zr3Pd2Au4. Source: Alexandria via LeMat-Bulk, functional PBE.

Computed properties:
- energy relative to the elements (eV/f.u.) = -5.07

a b c (Å): 13.3086 10.2737 5.0297
angles (deg): 90.00 100.50 90.00
Space group C2/c (No. 15)
Symmetry-distinct sites (fractional):
Zr  0.0000  0.1165  0.2500 x4
Zr  0.1653  0.3721  0.0833 x8
Pd  0.1111  0.1225  0.8065 x8
Au  0.0559  0.3668  0.5286 x8
Au  0.2219  0.1213  0.3596 x8



A relaxed structure of ZrPd8Au5. Source: Alexandria via LeMat-Bulk, functional PBE.

Computed properties:
- energy relative to the elements (eV/f.u.) = -1.43

a b c (Å): 7.8979 7.8979 7.9592
angles (deg): 90.00 90.00 90.00
Space group I-4 (No. 82)
Symmetry-distinct sites (fractional):
Zr  0.0000  0.0000  0.0000 x2
Pd  0.0630  0.8383  0.3277 x8
Pd  0.1084  0.6904  0.9967 x8
Au  0.0000  0.5000  0.2500 x2
Au  0.1128  0.7047  0.6595 x8



A relaxed structure of Zr2PdAu. Source: Alexandria via LeMat-Bulk, functional PBE.

Computed properties:
- energy relative to the elements (eV/f.u.) = -2.10

a b c (Å): 4.4375 4.4375 3.9215
angles (deg): 90.00 90.00 90.00
Space group P4/mmm (No. 123)
Symmetry-distinct sites (fractional):
Zr  0.0000  0.5000  0.0000 x2
Pd  0.0000  0.0000  0.5000 x1
Au  0.5000  0.5000  0.5000 x1



| no. | calculated volume (Å³ per cell) | energy (eV/cell) | magnetic moment (μB/atom) |
| --- | --- | --- | --- |
| 1 | 509.6 | -177.7 | 0.0000 |
| 2 | 241.5 | -73.4 | 0.0000 |
| 3 | 110.0 | -38.4 | 0.0000 |
| 4 | 676.2 | -216.8 | 0.0000 |
| 5 | 496.5 | -135.8 | 0.0000 |
| 6 | 77.2 | -27.7 | 0.0001 |